[1]
Compound: K3Ca2S2Br3
Source: the Alexandria database
Functional: PBE
Structure: relaxed

Values from the calculation:
For the uncorrected formation energy, the calculation gives -1.7311 eV/atom. For the spin magnetization, the calculation gives 0.00 μB per formula unit.

Cell: 5.0962 5.0962 14.8552 Å, 99.88 99.88 90.00°
Last column: nearest neighbours and their distance in Å.
Sites, in units of the cell vectors:
K  0.1107  0.1107  0.2214  1 S 3.11, 1 Br 3.19
K  0.5000  0.5000  0.0000  6 Br 3.40-3.60
K  0.8893  0.8893  0.7786  1 S 3.11, 1 Br 3.19
Br  0.3821  0.3821  0.7642  5 K 3.40-3.61
Br  0.6179  0.6179  0.2358  5 K 3.40-3.61
Br  0.0000  0.0000  0.0000  2 K 3.19
Ca  0.2500  0.7500  0.5000  4 S 2.70
Ca  0.7500  0.2500  0.5000  4 S 2.70
S  0.2187  0.2187  0.4373  4 Ca 2.70
S  0.7813  0.7813  0.5627  4 Ca 2.70


[2]
Compound: KCaSBr
Source: the Alexandria database
Functional: PBE
Structure: relaxed

Values from the calculation:
For the uncorrected formation energy, the calculation gives -1.8103 eV/atom. For the spin magnetization, the calculation gives 0.00 μB per formula unit.

Cell: 4.2294 4.2295 8.0786 Å, 90.01 105.17 120.00°
Last column: nearest neighbours and their distance in Å.
Sites, in units of the cell vectors:
K  0.4899  0.1429  0.6481  3 S 3.17, 3 Br 3.44
Ca  0.1101  0.9530  0.0783  3 S 2.77
Br  0.9469  0.3716  0.3336  3 Ca 3.13-3.14, 3 K 3.44
S  0.3311  0.5634  0.9098  3 Ca 2.77


[3]
Compound: KCa2SbBr8
Source: the Alexandria database
Functional: PBE
Structure: relaxed

Values from the calculation:
For the uncorrected formation energy, the calculation gives -1.4701 eV/atom. For the spin magnetization, the calculation gives 0.00 μB per formula unit.

Cell: 7.0490 6.7317 9.0400 Å, 90.00 90.00 89.65°
Last column: nearest neighbours and their distance in Å.
Sites, in units of the cell vectors:
Br  0.8392  0.2447  0.7800  1 Sb 2.82, 1 Ca 2.95
Br  0.1609  0.7554  0.7800  1 Sb 2.82, 1 Ca 2.95
Br  0.6380  0.7256  0.5000  2 Ca 2.87, 1 K 3.16
Br  0.8391  0.2446  0.2200  1 Sb 2.82, 1 Ca 2.95
Br  0.3343  0.2551  0.0000  1 Sb 2.92, 2 Ca 3.06
Br  0.6657  0.7449  0.0000  1 Sb 2.92, 2 Ca 3.06
Br  0.3620  0.2744  0.5000  2 Ca 2.87, 1 K 3.16
Br  0.1608  0.7553  0.2200  1 Sb 2.82, 1 Ca 2.95
Ca  0.5000  0.5000  0.7460  6 Br 2.87-3.06
Ca  0.5000  0.5000  0.2540  6 Br 2.87-3.06
Sb  0.0000  0.0000  0.0000  6 Br 2.82-2.92
K  0.0000  0.0000  0.5000  6 Br 3.16-3.22


[4]
Compound: KCaSe2Br
Source: the Alexandria database
Functional: PBE
Structure: relaxed

Values from the calculation:
For the uncorrected formation energy, the calculation gives -0.2875 eV/atom. For the spin magnetization, the calculation gives 0.00 μB per formula unit. Its offset from the most stable computed form is 3.515 eV per formula unit.

Cell: 5.5194 5.5194 5.7944 Å, 90.00 90.00 90.00°
Last column: nearest neighbours and their distance in Å.
Sites, in units of the cell vectors:
K  0.0000  0.0000  0.0000  4 Se 2.76, 2 Br 2.90
Se  0.5000  0.0000  0.0000  2 K 2.76
Se  0.0000  0.5000  0.0000  2 K 2.76
Br  0.0000  0.0000  0.5000  2 K 2.90
Ca  0.5000  0.5000  0.5000  4 Br 3.90, 8 Se 4.00